Compound: La12Dy7Pu
Source: Alexandria
Functional: GGA-PBE
Structure: relaxed

a = 6.381 Å, b = 11.467 Å, c = 11.467 Å
α = 116.64°, β = 100.69°, γ = 100.69°
Fractional positions:
1 La 0.093 0.593 0.186
2 La 0.093 0.186 0.593
3 La 0.558 0.645 0.000
4 La 0.442 0.000 0.355
5 La 0.500 0.407 0.593
6 La 0.087 0.645 0.645
7 La 0.913 0.355 0.355
8 La 0.500 0.593 0.407
9 La 0.558 0.000 0.645
10 La 0.442 0.355 0.000
11 La 0.907 0.814 0.407
12 La 0.907 0.407 0.814
13 Dy 0.106 0.758 0.000
14 Dy 0.894 0.000 0.243
15 Dy 0.652 0.757 0.758
16 Dy 0.500 0.000 0.000
17 Dy 0.348 0.243 0.242
18 Dy 0.106 0.000 0.757
19 Dy 0.894 0.242 0.000
20 Pu 0.000 0.000 0.000

Values from the calculation:
The spin magnetization is 5.41 μB per formula unit. The calculation puts the calculated formation energy at 0.19 eV/atom. The calculated density comes out at 7.2 g/cm³.

=====

Compound: La12Dy3Pu
Source: Alexandria
Functional: GGA-PBE
Structure: relaxed

a = 5.191 Å, b = 5.191 Å, c = 20.781 Å
α = 90.00°, β = 90.00°, γ = 90.00°
Fractional positions:
1 La 0.500 0.500 0.000
2 La 0.500 0.500 0.249
3 La 0.500 0.500 0.500
4 La 0.500 0.500 0.751
5 La 0.500 0.000 0.122
6 La 0.500 0.000 0.375
7 La 0.500 0.000 0.625
8 La 0.500 0.000 0.878
9 La 0.000 0.500 0.122
10 La 0.000 0.500 0.375
11 La 0.000 0.500 0.625
12 La 0.000 0.500 0.878
13 Dy 0.000 0.000 0.250
14 Dy 0.000 0.000 0.500
15 Dy 0.000 0.000 0.750
16 Pu 0.000 0.000 0.000

Values from the calculation:
The spin magnetization is 6.61 μB per formula unit. The calculation puts the calculated formation energy at 0.04 eV/atom. The calculated density comes out at 7.1 g/cm³.

=====

Compound: LaDy14Pu
Source: Alexandria
Functional: GGA-PBE
Structure: relaxed

a = 7.100 Å, b = 7.100 Å, c = 10.004 Å
α = 90.00°, β = 90.00°, γ = 89.99°
Fractional positions:
1 La 0.625 0.375 0.500
2 Dy 0.125 0.875 0.000
3 Dy 0.625 0.375 0.000
4 Dy 0.125 0.375 0.500
5 Dy 0.125 0.375 0.000
6 Dy 0.625 0.875 0.500
7 Dy 0.625 0.875 0.000
8 Dy 0.372 0.122 0.750
9 Dy 0.372 0.122 0.250
10 Dy 0.878 0.628 0.750
11 Dy 0.878 0.628 0.250
12 Dy 0.372 0.628 0.750
13 Dy 0.372 0.628 0.250
14 Dy 0.878 0.122 0.750
15 Dy 0.878 0.122 0.250
16 Pu 0.125 0.875 0.500

Values from the calculation:
The spin magnetization is 6.32 μB per formula unit. The calculation puts the calculated formation energy at 0.04 eV/atom. The calculated density comes out at 8.8 g/cm³.

=====

Compound: LaDyPu2
Source: Alexandria
Functional: GGA-PBE
Structure: relaxed

a = 3.460 Å, b = 3.460 Å, c = 10.022 Å
α = 90.00°, β = 90.00°, γ = 90.00°
Fractional positions:
1 Dy 0.500 0.500 0.500
2 La 0.500 0.500 0.000
3 Pu 0.000 0.000 0.746
4 Pu 0.000 0.000 0.254

Values from the calculation:
The spin magnetization is 12.68 μB per formula unit. The calculation puts the calculated formation energy at 0.20 eV/atom. The calculated density comes out at 10.9 g/cm³. The offset from the most stable computed form comes out at 0.0 meV per atom.

=====

Compound: La14DyPu
Source: Alexandria
Functional: GGA-PBE
Structure: relaxed

a = 7.373 Å, b = 7.373 Å, c = 10.422 Å
α = 90.00°, β = 90.00°, γ = 90.00°
Fractional positions:
1 La 0.374 0.626 0.500
2 La 0.875 0.125 0.500
3 La 0.864 0.618 0.000
4 La 0.882 0.633 0.500
5 La 0.382 0.136 0.000
6 La 0.367 0.118 0.500
7 La 0.621 0.871 0.757
8 La 0.621 0.871 0.243
9 La 0.129 0.379 0.757
10 La 0.129 0.379 0.243
11 La 0.130 0.870 0.765
12 La 0.130 0.870 0.235
13 La 0.623 0.377 0.748
14 La 0.623 0.377 0.252
15 Dy 0.874 0.126 0.000
16 Pu 0.375 0.625 0.000

Values from the calculation:
The spin magnetization is 6.81 μB per formula unit. The calculation puts the calculated formation energy at 0.03 eV/atom. The calculated density comes out at 6.9 g/cm³.

=====

Compound: LaDyPu2
Source: Alexandria
Functional: GGA-PBE
Structure: relaxed

a = 5.536 Å, b = 5.536 Å, c = 5.536 Å
α = 60.00°, β = 60.00°, γ = 60.00°
Fractional positions:
1 Dy 0.000 0.000 0.000
2 La 0.500 0.500 0.500
3 Pu 0.250 0.250 0.250
4 Pu 0.750 0.750 0.750

Values from the calculation:
The spin magnetization is 13.28 μB per formula unit. The calculation puts the calculated formation energy at 0.27 eV/atom. The calculated density comes out at 10.9 g/cm³. The offset from the most stable computed form comes out at 72.8 meV per atom.

=====

Compound: La7Dy4Pu
Source: Alexandria
Functional: GGA-PBE
Structure: relaxed

a = 10.992 Å, b = 10.992 Å, c = 8.216 Å
α = 59.07°, β = 59.07°, γ = 28.73°
Fractional positions:
1 La 0.138 0.138 0.916
2 La 0.862 0.862 0.084
3 La 0.952 0.952 0.366
4 La 0.048 0.048 0.634
5 La 0.681 0.681 0.546
6 La 0.500 0.500 0.000
7 La 0.319 0.319 0.454
8 Dy 0.406 0.406 0.733
9 Dy 0.594 0.594 0.267
10 Dy 0.229 0.229 0.177
11 Dy 0.771 0.771 0.823
12 Pu 0.000 0.000 0.000

Values from the calculation:
The spin magnetization is 0.00 μB per formula unit. The calculation puts the calculated formation energy at 0.22 eV/atom. The calculated density comes out at 7.7 g/cm³.

=====

Compound: LaDyPu2
Source: Alexandria
Functional: GGA-PBE
Structure: relaxed

a = 4.979 Å, b = 4.913 Å, c = 4.913 Å
α = 90.00°, β = 90.00°, γ = 90.00°
Fractional positions:
1 Dy 0.500 0.000 0.000
2 La 0.500 0.500 0.500
3 Pu 0.000 0.000 0.500
4 Pu 0.000 0.500 0.000

Values from the calculation:
The spin magnetization is 12.46 μB per formula unit. The calculation puts the calculated formation energy at 0.21 eV/atom. The calculated density comes out at 10.9 g/cm³. The offset from the most stable computed form comes out at 8.1 meV per atom.